No. 1
Below is a PBEsol-optimized structure of Ge19Sb4I4, with properties calculated at the meta-GGA SCAN level. Values from VASP.

As for the formation energy (no corrections): -0.040 eV/atom. Its space group is P-43n. For the uncorrected energy, the calculation gives -1.7960 Ry per atom. For the total magnetic moment, the calculation gives 0.000 Bohr magnetons per cell.

```
&SYSTEM
  ibrav = 0, nat = 54, ntyp = 3
/
ATOMIC_SPECIES
Ge 72.64 Ge.upf
Sb 121.76 Sb.upf
I 126.90 I.upf
CELL_PARAMETERS angstrom
10.874 0.000 0.000
0.000 10.874 0.000
0.000 0.000 10.874
ATOMIC_POSITIONS angstrom
Ge 0.000 2.719 5.437
Ge 5.544 8.872 4.190
Ge 1.247 7.440 0.107
Ge 3.435 10.768 1.247
Ge 10.768 1.247 3.435
Ge 8.947 1.928 1.928
Ge 8.872 6.684 5.330
Ge 2.002 6.684 5.544
Sb 7.437 7.437 7.437
I 0.000 0.000 0.000
Ge 0.000 8.156 5.437
Ge 1.247 3.435 10.768
Sb 2.000 8.875 8.875
Ge 5.330 2.002 4.190
Ge 3.435 0.107 9.628
I 5.437 5.437 5.437
Ge 3.509 7.365 7.365
I 8.156 0.000 5.437
Ge 5.544 2.002 6.684
I 5.437 8.156 0.000
Ge 5.437 0.000 8.156
I 0.000 5.437 8.156
Sb 8.875 2.000 8.875
Sb 3.438 7.437 3.438
Ge 8.872 4.190 5.544
Sb 7.437 3.438 3.438
Ge 7.365 3.509 7.365
Ge 1.928 8.947 1.928
Ge 6.684 5.330 8.872
Ge 4.190 5.330 2.002
Ge 0.107 9.628 3.435
Ge 8.947 8.947 8.947
Sb 2.000 2.000 2.000
Ge 5.330 8.872 6.684
Ge 9.628 7.440 10.768
I 0.000 5.437 2.719
Ge 8.156 5.437 0.000
Ge 7.440 10.768 9.628
I 2.719 0.000 5.437
Ge 9.628 3.435 0.107
Sb 3.438 3.438 7.437
Ge 7.365 7.365 3.509
Ge 5.437 0.000 2.719
Ge 4.190 5.544 8.872
Sb 8.875 8.875 2.000
Ge 2.719 5.437 0.000
Ge 1.928 1.928 8.947
Ge 7.440 0.107 1.247
Ge 0.107 1.247 7.440
Ge 6.684 5.544 2.002
I 5.437 2.719 0.000
Ge 10.768 9.628 7.440
Ge 3.509 3.509 3.509
Ge 2.002 4.190 5.330
```



No. 2
Below is a PBEsol-optimized structure of ZrAsRu, with properties calculated at the meta-GGA SCAN level. Values from VASP.

Its space group is I4mm. For the uncorrected energy, the calculation gives -2.1413 Ry per atom. For the total magnetic moment, the calculation gives 0.000 Bohr magnetons per cell. Its formation energy from the elements is -1.69 eV/f.u.

```
&SYSTEM
  ibrav = 0, nat = 3, ntyp = 3
/
ATOMIC_SPECIES
As 74.92 As.upf
Ru 101.07 Ru.upf
Zr 91.22 Zr.upf
CELL_PARAMETERS angstrom
3.041 0.000 0.000
0.000 3.041 0.000
-1.521 -1.521 5.247
ATOMIC_POSITIONS angstrom
As 0.000 0.000 0.226
Ru 1.521 1.521 1.513
Zr 0.000 0.000 3.507
```



No. 3
Below is a PBEsol-optimized structure of Ta4OsPt, with properties calculated at the meta-GGA SCAN level. Values from VASP.

Its space group is F-43m. For the uncorrected energy, the calculation gives -4.9900 Ry per atom. For the total magnetic moment, the calculation gives 0.000 Bohr magnetons per cell. Its formation energy from the elements is 1.05 eV/f.u.

```
&SYSTEM
  ibrav = 0, nat = 6, ntyp = 3
/
ATOMIC_SPECIES
Ta 180.95 Ta.upf
Pt 195.08 Pt.upf
Os 190.23 Os.upf
CELL_PARAMETERS angstrom
5.229 0.000 0.000
2.615 4.529 0.000
2.615 1.510 4.270
ATOMIC_POSITIONS angstrom
Ta 5.229 4.518 1.605
Ta 6.527 2.270 1.605
Pt 0.000 0.000 0.000
Os 7.844 4.529 3.202
Ta 3.932 2.270 1.605
Ta 5.229 3.019 3.724
```



No. 4
Below is a PBEsol-optimized structure of Mg5Cu3, with properties calculated at the meta-GGA SCAN level. Values from VASP.

Its space group is Cmmm. For the uncorrected energy, the calculation gives -0.6515 Ry per atom. For the total magnetic moment, the calculation gives 0.000 Bohr magnetons per cell. Its relative energy among the computed polymorphs is 60 meV/atom. Its formation energy from the elements is -0.44 eV/f.u.

```
&SYSTEM
  ibrav = 0, nat = 8, ntyp = 2
/
ATOMIC_SPECIES
Mg 24.30 Mg.upf
Cu 63.55 Cu.upf
CELL_PARAMETERS angstrom
4.416 0.000 0.000
0.000 5.574 -0.088
0.000 -1.552 5.355
ATOMIC_POSITIONS angstrom
Mg 0.000 -0.776 2.677
Mg 0.000 2.787 -0.044
Cu 2.208 0.107 4.087
Cu 2.208 3.915 1.179
Mg 2.208 2.904 3.803
Mg 2.208 1.118 1.464
Cu 0.000 2.011 2.633
Mg 0.000 0.000 0.000
```



No. 5
Below is a PBEsol-optimized structure of SrNi9P5, with properties calculated at the meta-GGA SCAN level. Values from VASP.

Its space group is P6_3/mmc. For the uncorrected energy, the calculation gives -1.1277 Ry per atom. For the total magnetic moment, the calculation gives 0.000 Bohr magnetons per cell. Its formation energy from the elements is -10.32 eV/f.u.

```
&SYSTEM
  ibrav = 0, nat = 30, ntyp = 3
/
ATOMIC_SPECIES
P 30.97 P.upf
Ni 58.69 Ni.upf
Sr 87.62 Sr.upf
CELL_PARAMETERS angstrom
-3.027 -5.299 -1.992
0.137 1.461 6.250
-9.036 5.577 -1.105
ATOMIC_POSITIONS angstrom
P -4.875 1.650 3.019
P -8.636 1.936 3.035
Ni -2.579 -2.139 -0.736
Ni -9.160 0.259 -1.144
Ni -6.815 1.709 1.755
Ni -7.981 2.323 -0.367
P -4.669 -2.030 2.151
Sr 0.000 0.000 0.000
Ni -6.762 2.282 4.206
P -4.735 -2.728 -0.833
P -3.290 -0.198 0.119
Ni -5.628 3.787 2.536
P -10.447 2.185 -0.281
Ni -9.400 3.304 1.439
Ni -2.819 0.910 1.862
Ni -8.213 5.382 2.220
P -7.190 4.466 3.986
Ni -3.945 -0.585 3.521
Ni -9.106 0.828 1.291
P -1.478 -0.447 3.434
P -7.256 3.768 1.002
Ni -6.297 -2.049 0.617
Ni -2.525 -1.566 1.715
Ni -9.346 3.877 3.890
Ni -3.712 -3.644 0.933
Ni -5.110 0.030 1.399
Sr -4.518 2.788 -0.552
Ni -2.765 1.479 4.297
P -7.051 0.088 0.134
Ni -5.164 -0.543 -1.052
```



No. 6
Below is a PBEsol-optimized structure of MgZr2Cd, with properties calculated at the meta-GGA SCAN level. Values from VASP.

Its space group is P4/mmm. For the uncorrected energy, the calculation gives -1.7868 Ry per atom. For the total magnetic moment, the calculation gives 1.062 Bohr magnetons per cell. Its formation energy from the elements is -0.46 eV/f.u.

```
&SYSTEM
  ibrav = 0, nat = 4, ntyp = 3
/
ATOMIC_SPECIES
Zr 91.22 Zr.upf
Cd 112.41 Cd.upf
Mg 24.30 Mg.upf
CELL_PARAMETERS angstrom
4.326 0.000 0.000
0.000 4.329 0.000
0.000 0.000 4.451
ATOMIC_POSITIONS angstrom
Zr 0.000 0.000 0.000
Cd 2.163 0.000 2.226
Mg 0.000 2.164 2.226
Zr 2.163 2.164 0.000
```